# 1
! Li5ThPd6 PBE optimized geometry; values from VASP
&SYSTEM
  ibrav = 0, nat = 12, ntyp = 3
/
ATOMIC_SPECIES
Li 6.94 Li.upf
Th 232.04 Th.upf
Pd 106.42 Pd.upf
CELL_PARAMETERS angstrom
2.103 -6.255 0.000
2.103 6.255 0.000
0.000 0.000 7.075
ATOMIC_POSITIONS crystal
Li 0.000 0.000 0.000
Li 0.315 0.685 0.500
Li 0.332 0.668 0.000
Li 0.668 0.332 0.000
Li 0.685 0.315 0.500
Th 0.000 0.000 0.500
Pd 0.170 0.830 0.236
Pd 0.170 0.830 0.764
Pd 0.500 0.500 0.225
Pd 0.500 0.500 0.775
Pd 0.830 0.170 0.236
Pd 0.830 0.170 0.764
! Energy of formation ... -0.56 eV per atom
! Final energy ... -54.9 eV/f.u.
! Space group ... No. 65

# 2
! LiThPd2 PBE optimized geometry; values from VASP
&SYSTEM
  ibrav = 0, nat = 4, ntyp = 3
/
ATOMIC_SPECIES
Li 6.94 Li.upf
Th 232.04 Th.upf
Pd 106.42 Pd.upf
CELL_PARAMETERS angstrom
3.440 0.000 0.000
0.000 3.440 0.000
0.000 0.000 6.532
ATOMIC_POSITIONS crystal
Li 0.000 0.000 0.000
Th 0.000 0.000 0.500
Pd 0.500 0.500 0.216
Pd 0.500 0.500 0.784
! Energy of formation ... -0.59 eV per atom
! Final energy ... -22.1 eV/f.u.
! Space group ... No. 123

# 3
! LiTh2Pd9 PBE optimized geometry; values from VASP
&SYSTEM
  ibrav = 0, nat = 12, ntyp = 3
/
ATOMIC_SPECIES
Li 6.94 Li.upf
Th 232.04 Th.upf
Pd 106.42 Pd.upf
CELL_PARAMETERS angstrom
4.211 0.000 0.000
0.000 4.211 0.000
0.000 0.000 11.839
ATOMIC_POSITIONS crystal
Li 0.000 0.000 0.000
Th 0.000 0.000 0.317
Th 0.000 0.000 0.683
Pd 0.000 0.500 0.151
Pd 0.000 0.500 0.500
Pd 0.000 0.500 0.849
Pd 0.500 0.000 0.151
Pd 0.500 0.000 0.500
Pd 0.500 0.000 0.849
Pd 0.500 0.500 0.000
Pd 0.500 0.500 0.328
Pd 0.500 0.500 0.672
! Energy of formation ... -0.74 eV per atom
! Final energy ... -72.4 eV/f.u.
! Space group ... No. 123

# 4
! LiTh2Pd8 PBE optimized geometry; values from VASP
&SYSTEM
  ibrav = 0, nat = 11, ntyp = 3
/
ATOMIC_SPECIES
Li 6.94 Li.upf
Th 232.04 Th.upf
Pd 106.42 Pd.upf
CELL_PARAMETERS angstrom
4.205 0.000 0.000
0.000 4.205 0.000
0.000 0.000 11.181
ATOMIC_POSITIONS crystal
Li 0.000 0.000 0.000
Th 0.000 0.000 0.307
Th 0.000 0.000 0.693
Pd 0.000 0.500 0.129
Pd 0.000 0.500 0.500
Pd 0.000 0.500 0.871
Pd 0.500 0.000 0.129
Pd 0.500 0.000 0.500
Pd 0.500 0.000 0.871
Pd 0.500 0.500 0.317
Pd 0.500 0.500 0.683
! Energy relative to the lowest polymorph listed for this composition ... 0.0000 eV/atom
! Energy of formation ... -0.70 eV per atom
! Final energy ... -66.0 eV/f.u.
! Space group ... No. 123

# 5
! Li5Th2Pd12 PBE optimized geometry; values from VASP
&SYSTEM
  ibrav = 0, nat = 19, ntyp = 3
/
ATOMIC_SPECIES
Li 6.94 Li.upf
Th 232.04 Th.upf
Pd 106.42 Pd.upf
CELL_PARAMETERS angstrom
5.068 -4.653 0.000
5.068 4.653 0.000
-2.520 0.000 6.910
ATOMIC_POSITIONS crystal
Li 0.000 0.000 0.000
Li 0.196 0.196 0.420
Li 0.283 0.283 0.051
Li 0.717 0.717 0.949
Li 0.804 0.804 0.580
Th 0.289 0.711 0.500
Th 0.711 0.289 0.500
Pd 0.045 0.528 0.706
Pd 0.105 0.105 0.694
Pd 0.150 0.662 0.098
Pd 0.338 0.850 0.902
Pd 0.441 0.441 0.786
Pd 0.472 0.955 0.294
Pd 0.528 0.045 0.706
Pd 0.559 0.559 0.214
Pd 0.662 0.150 0.098
Pd 0.850 0.338 0.902
Pd 0.895 0.895 0.306
Pd 0.955 0.472 0.294
! Energy of formation ... -0.48 eV per atom
! Final energy ... -95.9 eV/f.u.
! Space group ... No. 12

# 6
! LiThPd2 PBE optimized geometry; values from VASP
&SYSTEM
  ibrav = 0, nat = 16, ntyp = 3
/
ATOMIC_SPECIES
Li 6.94 Li.upf
Th 232.04 Th.upf
Pd 106.42 Pd.upf
CELL_PARAMETERS angstrom
7.227 0.000 0.000
0.000 7.112 0.000
0.000 0.000 5.816
ATOMIC_POSITIONS crystal
Li 0.106 0.250 0.157
Li 0.394 0.750 0.657
Li 0.606 0.250 0.343
Li 0.894 0.750 0.843
Th 0.029 0.750 0.350
Th 0.471 0.250 0.850
Th 0.529 0.750 0.150
Th 0.971 0.250 0.650
Pd 0.193 0.546 0.920
Pd 0.193 0.954 0.920
Pd 0.307 0.046 0.420
Pd 0.307 0.454 0.420
Pd 0.693 0.546 0.580
Pd 0.693 0.954 0.580
Pd 0.807 0.046 0.080
Pd 0.807 0.454 0.080
! Energy of formation ... -0.66 eV per atom
! Final energy ... -22.4 eV/f.u.
! Space group ... No. 62

# 7
! LiThPd PBE optimized geometry; values from VASP
&SYSTEM
  ibrav = 0, nat = 18, ntyp = 3
/
ATOMIC_SPECIES
Li 6.94 Li.upf
Th 232.04 Th.upf
Pd 106.42 Pd.upf
CELL_PARAMETERS angstrom
7.477 0.000 0.000
0.000 4.031 0.000
-0.226 0.000 12.843
ATOMIC_POSITIONS crystal
Li 0.012 0.250 0.078
Li 0.118 0.750 0.538
Li 0.377 0.250 0.201
Li 0.623 0.750 0.799
Li 0.882 0.250 0.462
Li 0.988 0.750 0.922
Th 0.056 0.750 0.286
Th 0.334 0.250 0.918
Th 0.452 0.250 0.626
Th 0.548 0.750 0.374
Th 0.666 0.750 0.082
Th 0.944 0.250 0.714
Pd 0.238 0.750 0.752
Pd 0.263 0.250 0.417
Pd 0.264 0.750 0.083
Pd 0.736 0.250 0.917
Pd 0.737 0.750 0.583
Pd 0.762 0.250 0.248
! Energy relative to the lowest polymorph listed for this composition ... 0.0000 eV/atom
! Energy of formation ... -0.49 eV per atom
! Final energy ... -16.0 eV/f.u.
! Space group ... No. 11

# 8
! LiThPd PBE optimized geometry; values from VASP
&SYSTEM
  ibrav = 0, nat = 9, ntyp = 3
/
ATOMIC_SPECIES
Li 6.94 Li.upf
Th 232.04 Th.upf
Pd 106.42 Pd.upf
CELL_PARAMETERS angstrom
7.376 0.000 0.000
-3.688 6.388 0.000
0.000 0.000 4.099
ATOMIC_POSITIONS crystal
Li 0.000 0.232 0.000
Li 0.232 0.000 0.000
Li 0.768 0.768 0.000
Th 0.000 0.590 0.500
Th 0.410 0.410 0.500
Th 0.590 0.000 0.500
Pd 0.000 0.000 0.500
Pd 0.333 0.667 0.000
Pd 0.667 0.333 0.000
! Energy relative to the lowest polymorph listed for this composition ... 0.0083 eV/atom
! Energy of formation ... -0.48 eV per atom
! Final energy ... -16.0 eV/f.u.
! Space group ... No. 189

# 9
! Li2ThPd7 PBE optimized geometry; values from VASP
&SYSTEM
  ibrav = 0, nat = 10, ntyp = 3
/
ATOMIC_SPECIES
Li 6.94 Li.upf
Th 232.04 Th.upf
Pd 106.42 Pd.upf
CELL_PARAMETERS angstrom
3.628 -5.901 0.000
3.628 5.901 0.000
0.000 0.000 4.423
ATOMIC_POSITIONS crystal
Li 0.196 0.804 0.000
Li 0.804 0.196 0.000
Th 0.500 0.500 0.500
Pd 0.000 0.000 0.000
Pd 0.185 0.434 0.000
Pd 0.267 0.733 0.500
Pd 0.434 0.185 0.000
Pd 0.566 0.815 0.000
Pd 0.733 0.267 0.500
Pd 0.815 0.566 0.000
! Energy of formation ... -0.13 eV per atom
! Final energy ... -48.9 eV/f.u.
! Space group ... No. 65

# 10
! LiThPd PBE optimized geometry; values from VASP
&SYSTEM
  ibrav = 0, nat = 3, ntyp = 3
/
ATOMIC_SPECIES
Li 6.94 Li.upf
Th 232.04 Th.upf
Pd 106.42 Pd.upf
CELL_PARAMETERS angstrom
4.444 0.000 0.000
-2.222 3.849 0.000
0.000 0.000 3.687
ATOMIC_POSITIONS crystal
Li 0.000 0.000 0.000
Th 0.667 0.333 0.500
Pd 0.333 0.667 0.000
! Energy relative to the lowest polymorph listed for this composition ... 0.1203 eV/atom
! Energy of formation ... -0.37 eV per atom
! Final energy ... -15.6 eV/f.u.
! Space group ... No. 187

# 11
! LiThPd PBE optimized geometry; values from VASP
&SYSTEM
  ibrav = 0, nat = 3, ntyp = 3
/
ATOMIC_SPECIES
Li 6.94 Li.upf
Th 232.04 Th.upf
Pd 106.42 Pd.upf
CELL_PARAMETERS angstrom
-1.746 1.746 5.125
1.746 -1.746 5.125
1.746 1.746 -5.125
ATOMIC_POSITIONS crystal
Li 0.000 0.000 0.000
Th 0.710 0.710 0.000
Pd 0.388 0.388 0.000
! Energy relative to the lowest polymorph listed for this composition ... 0.1626 eV/atom
! Energy of formation ... -0.33 eV per atom
! Final energy ... -15.5 eV/f.u.
! Space group ... No. 107

# 12
! LiThPd2 PBE optimized geometry; values from VASP
&SYSTEM
  ibrav = 0, nat = 4, ntyp = 3
/
ATOMIC_SPECIES
Li 6.94 Li.upf
Th 232.04 Th.upf
Pd 106.42 Pd.upf
CELL_PARAMETERS angstrom
4.667 0.000 0.000
0.000 4.667 0.000
0.000 0.000 3.649
ATOMIC_POSITIONS crystal
Li 0.000 0.000 0.000
Th 0.500 0.500 0.000
Pd 0.000 0.500 0.500
Pd 0.500 0.000 0.500
! Energy of formation ... -0.57 eV per atom
! Final energy ... -22.0 eV/f.u.
! Space group ... No. 123

# 13
! LiThPd2 PBE optimized geometry; values from VASP
&SYSTEM
  ibrav = 0, nat = 4, ntyp = 3
/
ATOMIC_SPECIES
Li 6.94 Li.upf
Th 232.04 Th.upf
Pd 106.42 Pd.upf
CELL_PARAMETERS angstrom
2.174 1.255 4.831
-2.174 1.255 4.831
0.000 -2.510 4.831
ATOMIC_POSITIONS crystal
Li 0.000 0.000 0.000
Th 0.500 0.500 0.500
Pd 0.282 0.282 0.282
Pd 0.718 0.718 0.718
! Energy of formation ... -0.67 eV per atom
! Final energy ... -22.4 eV/f.u.
! Space group ... No. 166

# 14
! LiThPd5 PBE optimized geometry; values from VASP
&SYSTEM
  ibrav = 0, nat = 7, ntyp = 3
/
ATOMIC_SPECIES
Li 6.94 Li.upf
Th 232.04 Th.upf
Pd 106.42 Pd.upf
CELL_PARAMETERS angstrom
4.233 0.000 0.000
0.000 4.233 0.000
0.000 0.000 6.858
ATOMIC_POSITIONS crystal
Li 0.000 0.000 0.000
Th 0.500 0.500 0.500
Pd 0.000 0.000 0.500
Pd 0.000 0.500 0.207
Pd 0.000 0.500 0.793
Pd 0.500 0.000 0.207
Pd 0.500 0.000 0.793
! Energy of formation ... -0.57 eV per atom
! Final energy ... -39.3 eV/f.u.
! Space group ... No. 123

# 15
! Li2Th2Pd7 PBE optimized geometry; values from VASP
&SYSTEM
  ibrav = 0, nat = 11, ntyp = 3
/
ATOMIC_SPECIES
Li 6.94 Li.upf
Th 232.04 Th.upf
Pd 106.42 Pd.upf
CELL_PARAMETERS angstrom
5.540 -4.604 0.000
5.540 4.604 0.000
-0.873 0.000 4.060
ATOMIC_POSITIONS crystal
Li 0.242 0.242 0.191
Li 0.758 0.758 0.809
Th 0.238 0.762 0.000
Th 0.762 0.238 0.000
Pd 0.000 0.000 0.500
Pd 0.025 0.371 0.702
Pd 0.371 0.025 0.702
Pd 0.412 0.412 0.678
Pd 0.588 0.588 0.322
Pd 0.629 0.975 0.298
Pd 0.975 0.629 0.298
! Energy of formation ... -0.57 eV per atom
! Final energy ... -61.2 eV/f.u.
! Space group ... No. 12

# 16
! LiTh2Pd8 PBE optimized geometry; values from VASP
&SYSTEM
  ibrav = 0, nat = 11, ntyp = 3
/
ATOMIC_SPECIES
Li 6.94 Li.upf
Th 232.04 Th.upf
Pd 106.42 Pd.upf
CELL_PARAMETERS angstrom
3.568 -7.114 0.000
3.568 7.114 0.000
-1.818 0.000 4.069
ATOMIC_POSITIONS crystal
Li 0.000 0.000 0.000
Th 0.308 0.692 0.500
Th 0.692 0.308 0.500
Pd 0.110 0.312 0.631
Pd 0.175 0.825 0.000
Pd 0.312 0.110 0.631
Pd 0.386 0.386 0.189
Pd 0.614 0.614 0.811
Pd 0.688 0.890 0.369
Pd 0.825 0.175 0.000
Pd 0.890 0.688 0.369
! Energy relative to the lowest polymorph listed for this composition ... 0.1204 eV/atom
! Energy of formation ... -0.58 eV per atom
! Final energy ... -64.6 eV/f.u.
! Space group ... No. 12

# 17
! LiTh2Pd5 PBE optimized geometry; values from VASP
&SYSTEM
  ibrav = 0, nat = 16, ntyp = 3
/
ATOMIC_SPECIES
Li 6.94 Li.upf
Th 232.04 Th.upf
Pd 106.42 Pd.upf
CELL_PARAMETERS angstrom
1.620 -8.250 0.000
1.620 8.250 0.000
0.000 0.000 13.086
ATOMIC_POSITIONS crystal
Li 0.172 0.828 0.750
Li 0.828 0.172 0.250
Th 0.106 0.894 0.067
Th 0.106 0.894 0.433
Th 0.894 0.106 0.567
Th 0.894 0.106 0.933
Pd 0.049 0.951 0.638
Pd 0.049 0.951 0.862
Pd 0.198 0.802 0.250
Pd 0.248 0.752 0.585
Pd 0.248 0.752 0.915
Pd 0.752 0.248 0.085
Pd 0.752 0.248 0.415
Pd 0.802 0.198 0.750
Pd 0.951 0.049 0.138
Pd 0.951 0.049 0.362
! Energy of formation ... -0.26 eV per atom
! Final energy ... -44.8 eV/f.u.
! Space group ... No. 63

# 18
! LiTh2Pd4 PBE optimized geometry; values from VASP
&SYSTEM
  ibrav = 0, nat = 7, ntyp = 3
/
ATOMIC_SPECIES
Li 6.94 Li.upf
Th 232.04 Th.upf
Pd 106.42 Pd.upf
CELL_PARAMETERS angstrom
-2.184 2.184 7.514
2.184 -2.184 7.514
2.184 2.184 -7.514
ATOMIC_POSITIONS crystal
Li 0.000 0.000 0.000
Th 0.348 0.348 0.000
Th 0.652 0.652 0.000
Pd 0.000 0.500 0.500
Pd 0.154 0.154 0.000
Pd 0.500 0.000 0.500
Pd 0.846 0.846 0.000
! Energy of formation ... -0.54 eV per atom
! Final energy ... -41.3 eV/f.u.
! Space group ... No. 139

# 19
! Li2ThPd5 PBE optimized geometry; values from VASP
&SYSTEM
  ibrav = 0, nat = 8, ntyp = 3
/
ATOMIC_SPECIES
Li 6.94 Li.upf
Th 232.04 Th.upf
Pd 106.42 Pd.upf
CELL_PARAMETERS angstrom
-2.126 2.126 7.125
2.126 -2.126 7.125
2.126 2.126 -7.125
ATOMIC_POSITIONS crystal
Li 0.249 0.249 0.000
Li 0.751 0.751 0.000
Th 0.500 0.500 0.000
Pd 0.000 0.000 0.000
Pd 0.142 0.642 0.500
Pd 0.358 0.858 0.500
Pd 0.642 0.142 0.500
Pd 0.858 0.358 0.500
! Energy of formation ... -0.70 eV per atom
! Final energy ... -42.8 eV/f.u.
! Space group ... No. 139

# 20
! Li4ThPd2 PBE optimized geometry; values from VASP
&SYSTEM
  ibrav = 0, nat = 7, ntyp = 3
/
ATOMIC_SPECIES
Li 6.94 Li.upf
Th 232.04 Th.upf
Pd 106.42 Pd.upf
CELL_PARAMETERS angstrom
1.921 -9.047 0.000
1.921 9.047 0.000
0.000 0.000 3.864
ATOMIC_POSITIONS crystal
Li 0.178 0.822 0.000
Li 0.318 0.682 0.500
Li 0.682 0.318 0.500
Li 0.822 0.178 0.000
Th 0.500 0.500 0.000
Pd 0.077 0.923 0.500
Pd 0.923 0.077 0.500
! Energy of formation ... -0.39 eV per atom
! Final energy ... -28.2 eV/f.u.
! Space group ... No. 65